This record from Alexandria describes TiSF after structural relaxation. The functional is PBE.

Values from the calculation:
formation energy from raw total energies	-2.1235	eV per atom
spin magnetization	0.000	μB/f.u.

a b c (Å): 3.923 5.745 5.880
angles (deg): 80.37 70.51 89.87
Fractional positions:
S 0.172 0.756 0.658
S 0.828 0.244 0.342
Ti 0.643 0.955 0.715
Ti 0.357 0.045 0.285
F 0.548 0.205 0.904
F 0.452 0.795 0.096